No. 1
# Li2TbBr5 (PBE-GGA, optimized geometry)
data_Li2TbBr5
_symmetry_space_group_name_H-M 'P 1'
_symmetry_Int_Tables_number 1
_cell_length_a 7.486
_cell_length_b 7.486
_cell_length_c 7.190
_cell_angle_alpha 115.32
_cell_angle_beta 115.32
_cell_angle_gamma 67.14
loop_
_symmetry_equiv_pos_as_xyz
'x,y,z'
loop_
_atom_site_label
_atom_site_fract_x
_atom_site_fract_y
_atom_site_fract_z
Li1 0.220 0.780 0.000
Li2 0.780 0.220 0.000
Tb1 0.147 0.147 0.513
Br1 0.049 0.049 0.782
Br2 0.397 0.397 0.870
Br3 0.468 0.926 0.365
Br4 0.907 0.907 0.132
Br5 0.926 0.468 0.365
# E_form (uncorrected) = -37.8 kcal/mol of atoms

No. 2
# Cs3RbGe2I9 (PBE-GGA, optimized geometry)
data_Cs3RbGe2I9
_symmetry_space_group_name_H-M 'P 1'
_symmetry_Int_Tables_number 1
_cell_length_a 8.486
_cell_length_b 8.486
_cell_length_c 12.148
_cell_angle_alpha 90.00
_cell_angle_beta 90.00
_cell_angle_gamma 120.00
loop_
_symmetry_equiv_pos_as_xyz
'x,y,z'
loop_
_atom_site_label
_atom_site_fract_x
_atom_site_fract_y
_atom_site_fract_z
Cs1 0.000 0.000 0.000
Cs2 0.333 0.667 0.746
Cs3 0.667 0.333 0.254
Rb1 0.000 0.000 0.500
Ge1 0.333 0.667 0.154
Ge2 0.667 0.333 0.846
I1 0.000 0.500 0.000
I2 0.171 0.342 0.281
I3 0.171 0.829 0.281
I4 0.342 0.171 0.719
I5 0.500 0.000 0.000
I6 0.500 0.500 0.000
I7 0.658 0.829 0.281
I8 0.829 0.171 0.719
I9 0.829 0.658 0.719
# E_form (uncorrected) = -21.2 kcal/mol of atoms

No. 3
# NaTa2Tc (PBE-GGA, optimized geometry)
data_NaTa2Tc
_symmetry_space_group_name_H-M 'P 1'
_symmetry_Int_Tables_number 1
_cell_length_a 5.972
_cell_length_b 5.972
_cell_length_c 5.972
_cell_angle_alpha 103.13
_cell_angle_beta 103.13
_cell_angle_gamma 123.07
loop_
_symmetry_equiv_pos_as_xyz
'x,y,z'
loop_
_atom_site_label
_atom_site_fract_x
_atom_site_fract_y
_atom_site_fract_z
Na1 0.000 0.000 0.000
Na2 0.750 0.250 0.500
Ta1 0.165 0.625 0.040
Ta2 0.375 0.415 0.540
Ta3 0.585 0.125 0.960
Ta4 0.875 0.835 0.460
Tc1 0.250 0.750 0.500
Tc2 0.500 0.500 0.000
# Polymorph energy (0 for the lowest one) = 444.9 meV/atom
# ΔE_f = 0.995 eV per atom

No. 4
# Sr3TlGe (PBE-GGA, optimized geometry)
data_Sr3TlGe
_symmetry_space_group_name_H-M 'P 1'
_symmetry_Int_Tables_number 1
_cell_length_a 6.094
_cell_length_b 6.094
_cell_length_c 6.094
_cell_angle_alpha 90.00
_cell_angle_beta 90.00
_cell_angle_gamma 90.00
loop_
_symmetry_equiv_pos_as_xyz
'x,y,z'
loop_
_atom_site_label
_atom_site_fract_x
_atom_site_fract_y
_atom_site_fract_z
Sr1 0.000 0.000 0.500
Sr2 0.000 0.500 0.000
Sr3 0.500 0.000 0.000
Tl1 0.500 0.500 0.500
Ge1 0.000 0.000 0.000
# Polymorph energy (0 for the lowest one) = 0.0 meV/atom
# ΔE_f = -0.221 eV per atom

No. 5
# ZnIrRu2 (PBE-GGA, optimized geometry)
data_ZnIrRu2
_symmetry_space_group_name_H-M 'P 1'
_symmetry_Int_Tables_number 1
_cell_length_a 2.710
_cell_length_b 2.710
_cell_length_c 8.999
_cell_angle_alpha 90.00
_cell_angle_beta 90.00
_cell_angle_gamma 118.58
loop_
_symmetry_equiv_pos_as_xyz
'x,y,z'
loop_
_atom_site_label
_atom_site_fract_x
_atom_site_fract_y
_atom_site_fract_z
Zn1 0.000 0.000 0.000
Ir1 0.500 0.500 0.247
Ru1 0.000 0.000 0.504
Ru2 0.500 0.500 0.751
# ΔE_f = 0.253 eV per atom

No. 6
# SmPaCrN4 (PBE-GGA, optimized geometry)
data_SmPaCrN4
_symmetry_space_group_name_H-M 'P 1'
_symmetry_Int_Tables_number 1
_cell_length_a 5.755
_cell_length_b 5.300
_cell_length_c 6.721
_cell_angle_alpha 90.00
_cell_angle_beta 107.59
_cell_angle_gamma 90.00
loop_
_symmetry_equiv_pos_as_xyz
'x,y,z'
loop_
_atom_site_label
_atom_site_fract_x
_atom_site_fract_y
_atom_site_fract_z
Sm1 0.208 0.250 0.426
Sm2 0.792 0.750 0.574
Pa1 0.271 0.250 0.943
Pa2 0.729 0.750 0.057
Cr1 0.267 0.750 0.196
Cr2 0.733 0.250 0.804
N1 0.064 0.750 0.356
N2 0.075 0.750 0.932
N3 0.483 0.502 0.227
N4 0.483 0.998 0.227
N5 0.517 0.002 0.773
N6 0.517 0.498 0.773
N7 0.925 0.250 0.068
N8 0.936 0.250 0.644
# E_form (uncorrected) = -24.7 kcal/mol of atoms

Number 1: final energy -3.742 eV/atom. Number 2: final energy -2.701 eV/atom. Number 3: final energy -7.852 eV/atom. Number 4: final energy -2.627 eV/atom. Number 5: final energy -6.919 eV/atom. Number 6: final energy -9.235 eV/atom.